Entry 1:
VASP calculation (PBE) on a relaxed structure of SmPaTc2.

Calculated values
Magnetic moment   0.000 μB/atom
E above lowest polymorph   0.000 eV/atom
Crystal system   tetragonal
DFT formation energy   -0.1314 eV/atom

Cell lengths 3.4300, 3.4300, 7.1271 Å; angles 90.00, 90.00, 90.00 degrees
Closest atoms and distances in Å follow each position.
Space group P4/mmm (No. 123)
One atom of each set of equivalent atoms:
Sm 0.0000 0.0000 0.0000  8 Tc 3.18, 4 Sm 3.43
Pa 0.0000 0.0000 0.5000  8 Tc 2.86
Tc 0.5000 0.5000 0.2876  4 Pa 2.86, 1 Tc 3.03, 4 Sm 3.18



Entry 2:
VASP calculation (PBE) on a relaxed structure of LiCa.

Calculated values
Magnetic moment   0.000 μB/atom
E above lowest polymorph   0.096 eV/atom
Crystal system   hexagonal
DFT formation energy   0.1080 eV/atom

Cell lengths 3.7724, 3.7724, 5.4135 Å; angles 90.00, 90.00, 120.00 degrees
Closest atoms and distances in Å follow each position.
Space group P-6m2 (No. 187)
One atom of each set of equivalent atoms:
Li 0.0000 0.0000 0.0000  6 Ca 3.47, 6 Li 3.77
Ca 0.3333 0.6667 0.5000  6 Li 3.47, 6 Ca 3.77



Entry 3:
VASP calculation (PBE) on a relaxed structure of KPrSeS.

Calculated values
Magnetic moment   0.000 μB/atom
ΔE_f (raw)   -1792 meV per atom
Crystal system   trigonal

Cell lengths 4.3043, 4.3043, 22.6902 Å; angles 90.00, 90.00, 120.00 degrees
Closest atoms and distances in Å follow each position.
Space group R3m (No. 160, hexagonal axes)
One atom of each set of equivalent atoms:
K 0.0000 0.0000 0.0000  3 S 3.30, 3 Se 3.33
Pr 0.0000 0.0000 0.5054  3 S 2.90, 3 Se 3.01
Se 0.0000 0.0000 0.7642  3 Pr 3.01, 3 K 3.33
S 0.0000 0.0000 0.2378  3 Pr 2.90



Entry 4:
VASP calculation (PBE) on a relaxed structure of CaCdTe2O6.

Calculated values
Magnetic moment   0.000 μB/atom
ΔE_f (raw)   -1494 meV per atom
Crystal system   monoclinic

Cell lengths 10.1266, 10.7673, 7.0905 Å; angles 90.00, 114.68, 90.00 degrees
Closest atoms and distances in Å follow each position.
Space group C2/c (No. 15)
One atom of each set of equivalent atoms:
Ca 0.0000 0.0632 0.2500  6 O 2.29-2.51
Cd 0.0000 0.2650 0.7500  4 O 2.18-2.32
Te 0.1912 0.3668 0.2833  3 O 1.89-1.94
O 0.1019 0.1071 0.6317  1 Te 1.94
O 0.1357 0.3894 0.9965  1 Te 1.89
O 0.1900 0.1916 0.2910  1 Te 1.89



Entry 5:
VASP calculation (PBE) on a relaxed structure of RbZr3Co.

Calculated values
Magnetic moment   0.379 μB/atom
E above lowest polymorph   1.783 eV/atom
Crystal system   cubic
DFT formation energy   2.4080 eV/atom

Cell lengths 4.9834, 4.9834, 4.9834 Å; angles 90.00, 90.00, 90.00 degrees
Closest atoms and distances in Å follow each position.
Space group Pm-3m (No. 221)
One atom of each set of equivalent atoms:
Rb 0.0000 0.0000 0.0000  6 Zr 2.49
Zr 0.0000 0.0000 0.5000  2 Rb 2.49
Co 0.5000 0.5000 0.5000  12 Zr 3.52



Entry 6:
VASP calculation (PBE) on a relaxed structure of BaDyHg2.

Calculated values
Magnetic moment   0.000 μB/atom
Crystal system   trigonal
DFT formation energy   -0.3043 eV/atom

Cell lengths 4.1317, 4.1317, 27.5914 Å; angles 90.00, 90.00, 120.00 degrees
Closest atoms and distances in Å follow each position.
Space group R-3m (No. 166, hexagonal axes)
One atom of each set of equivalent atoms:
Ba 0.0000 0.0000 0.0000  6 Hg 3.55
Dy 0.0000 0.0000 0.5000  6 Hg 3.10
Hg 0.0000 0.0000 0.2381  3 Dy 3.10